This record from Alexandria describes a geometry-optimized LaAl3Pd structure. The functional is GGA-PBE.

Cell and atoms, written as POSCAR:
```
LaAl3Pd
1.0
-2.9970 2.6101 -2.6916
-3.6515 -1.2497 2.8538
0.8511 3.8295 2.7659
Al Pd La
3 1 1
Direct
0.0000 0.5000 0.0000
0.5000 0.0000 0.0000
0.0000 0.0000 0.5000
0.0000 0.0000 0.0000
0.5000 0.5000 0.5000
```

## Properties
Its formation energy from the elements is -185 kJ/mol of formula units. The symmetry is No. 221. The calculation puts the density of states at the Fermi level at 0.71 states/eV per atom. Its electronic total energy is -4.65 eV per atom.



This record from Alexandria describes a geometry-optimized La2AlPd2 structure. The functional is GGA-PBE.

Cell and atoms, written as POSCAR:
```
La2AlPd2
1.0
3.8715 0.0000 0.0000
0.0000 3.8715 0.0000
1.9358 1.9358 8.5600
Pd Al La
2 1 2
Direct
0.7500 0.2500 0.5000
0.2500 0.7500 0.5000
0.0000 0.0000 0.0000
0.3849 0.3849 0.2303
0.6151 0.6151 0.7697
```

## Properties
Its formation energy from the elements is -221 kJ/mol of formula units. The symmetry is No. 139. The calculation puts the density of states at the Fermi level at 0.61 states/eV per atom. Its electronic total energy is -5.25 eV per atom.



> Among the records above, which one has the highest formation energy from the elements?

LaAl3Pd



> Which formula does entry 2 have?

La2AlPd2



> Which of these has the lowest density of states at the Fermi level?

La2AlPd2



> The lowest formation energy from the elements belongs to which entry?

La2AlPd2